Density functional theory data (PBE-GGA) for ZrSe2Cl after structural relaxation.

Lattice parameters (Å, degrees): 3.469 3.469 8.186 90.00 90.00 90.00
Atoms (fractional coordinates):
Zr  0.000  0.000  0.000
Se  0.000  0.000  0.657
Se  0.500  0.500  0.844
Cl  0.500  0.500  0.213

Output
Formation energy without anion corrections   -0.720 eV/atom
Space group   No. 99



Density functional theory data (PBE-GGA) for ZrSeCl2 after structural relaxation.

Lattice parameters (Å, degrees): 5.251 5.251 5.251 132.13 132.13 70.03
Atoms (fractional coordinates):
Zr  0.000  0.000  0.000
Se  0.500  0.500  0.000
Cl  0.250  0.750  0.500
Cl  0.750  0.250  0.500

Output
Formation energy without anion corrections   -0.553 eV/atom
Space group   No. 139



Density functional theory data (PBE-GGA) for ZrSe2Cl after structural relaxation.

Lattice parameters (Å, degrees): 5.069 5.069 3.782 90.00 90.00 119.35
Atoms (fractional coordinates):
Zr  0.000  0.000  0.000
Se  0.000  0.500  0.500
Se  0.500  0.000  0.500
Cl  0.500  0.500  0.000

Output
Formation energy without anion corrections   -0.594 eV/atom
Space group   No. 65



| no. | E above lowest polymorph (meV per atom) |
| --- | --- |
| 1 | 364 |
| 2 | 920 |
| 3 | 490 |